{"formula": "MoRu2Cl", "functional": "PBE-GGA", "state": "relaxed", "cell": [[2.9816, -3.5262, 0.0000], [2.9816, 3.5262, 0.0000], [0.0000, 0.0000, 2.8586]], "species": ["Mo", "Ru", "Ru", "Cl"], "frac_coords": [[0.0000, 0.0000, 0.0000], [0.0000, 0.5000, 0.5000], [0.5000, 0.0000, 0.5000], [0.5000, 0.5000, 0.0000]]}

***

{"formula": "MoRu2Cl", "functional": "PBE-GGA", "state": "relaxed", "cell": [[-2.8095, 2.8095, 5.1915], [2.8095, -2.8095, 5.1915], [2.8095, 2.8095, -5.1915]], "species": ["Mo", "Mo", "Ru", "Ru", "Ru", "Ru", "Cl", "Cl"], "frac_coords": [[0.0000, 0.0000, 0.0000], [0.7500, 0.2500, 0.5000], [0.1303, 0.6250, 0.0053], [0.3750, 0.3803, 0.5053], [0.6197, 0.1250, 0.9947], [0.8750, 0.8697, 0.4947], [0.2500, 0.7500, 0.5000], [0.5000, 0.5000, 0.0000]]}

***

{"formula": "MoRu2Cl", "functional": "PBE-GGA", "state": "relaxed", "cell": [[2.9007, 0.0000, 0.0000], [0.0000, 2.9007, 0.0000], [0.0000, 0.0000, 7.2149]], "species": ["Mo", "Ru", "Ru", "Cl"], "frac_coords": [[0.0000, 0.0000, 0.0000], [0.5000, 0.5000, 0.2398], [0.5000, 0.5000, 0.7602], [0.0000, 0.0000, 0.5000]]}

***

{"formula": "MoRu2Cl", "functional": "PBE-GGA", "state": "relaxed", "cell": [[1.4202, 0.8200, 8.5983], [-1.4202, 0.8200, 8.5983], [0.0000, -1.6399, 8.5983]], "species": ["Mo", "Ru", "Ru", "Cl"], "frac_coords": [[0.0000, 0.0000, 0.0000], [0.2467, 0.2467, 0.2467], [0.5007, 0.5007, 0.5007], [0.7415, 0.7415, 0.7415]]}

***

{"formula": "MoRu2Cl", "functional": "PBE-GGA", "state": "relaxed", "cell": [[2.8517, 0.0000, 0.0000], [0.0000, 4.0207, 0.0000], [-1.4149, 0.0000, 5.2900]], "species": ["Mo", "Ru", "Ru", "Cl"], "frac_coords": [[0.0000, 0.0000, 0.0000], [0.2352, 0.0000, 0.4718], [0.6440, 0.5000, 0.2894], [0.8740, 0.5000, 0.7397]]}

***

{"formula": "MoRu2Cl", "functional": "PBE-GGA", "state": "relaxed", "cell": [[1.4201, -2.4575, 0.0000], [1.4201, 2.4575, 0.0000], [0.0000, 0.0000, 8.8447]], "species": ["Mo", "Ru", "Ru", "Cl"], "frac_coords": [[0.0000, 0.0000, 0.0000], [0.0000, 0.0000, 0.5000], [0.5000, 0.5000, 0.7476], [0.5000, 0.5000, 0.2428]]}

***

Number 1: uncorrected formation energy 0.837 eV per atom, polymorph energy (0 for the lowest one) 547 meV per atom, Fermi-level density of states 1.146 states/eV/atom. Number 2: uncorrected formation energy 0.890 eV per atom, polymorph energy (0 for the lowest one) 600 meV per atom, Fermi-level density of states 1.238 states/eV/atom. Number 3: uncorrected formation energy 0.351 eV per atom, polymorph energy (0 for the lowest one) 61 meV per atom, Fermi-level density of states 1.192 states/eV/atom. Number 4: uncorrected formation energy 0.290 eV per atom, polymorph energy (0 for the lowest one) 0 meV per atom, Fermi-level density of states 0.674 states/eV/atom. Number 5: uncorrected formation energy 0.520 eV per atom, polymorph energy (0 for the lowest one) 230 meV per atom, Fermi-level density of states 0.908 states/eV/atom. Number 6: uncorrected formation energy 0.603 eV per atom, polymorph energy (0 for the lowest one) 313 meV per atom, Fermi-level density of states 1.341 states/eV/atom.